Record 1
An optimized crystal structure of ZnNiHgPb. Source: the Open Quantum Materials Database, functional PBE.

Results
spin magnetization	0.0	μB/cell
VASP energy	-2.344	eV/atom

Cell and atoms, written as extended XYZ:
```
16
Lattice="6.8422 0.0000 0.0000 0.0000 6.8422 0.0000 0.0000 0.0000 6.8422" Properties=species:S:1:pos:R:3 pbc="T T T"
Zn 0.0000 0.0000 0.0000
Zn 0.0000 3.4211 3.4211
Zn 3.4211 0.0000 3.4211
Zn 3.4211 3.4211 0.0000
Ni 1.7105 1.7105 5.1316
Ni 1.7105 5.1316 1.7105
Ni 5.1316 1.7105 1.7105
Ni 5.1316 5.1316 5.1316
Hg 1.7105 1.7105 1.7105
Hg 1.7105 5.1316 5.1316
Hg 5.1316 1.7105 5.1316
Hg 5.1316 5.1316 1.7105
Pb 0.0000 0.0000 3.4211
Pb 0.0000 3.4211 0.0000
Pb 3.4211 0.0000 0.0000
Pb 3.4211 3.4211 3.4211
```

Record 2
An optimized crystal structure of ZrNiHgPb. Source: the Open Quantum Materials Database, functional PBE.

Results
spin magnetization	0.0	μB/cell
VASP energy	-4.398	eV/atom

Cell and atoms, written as extended XYZ:
```
16
Lattice="6.8952 0.0000 0.0000 0.0000 6.8952 0.0000 0.0000 0.0000 6.8952" Properties=species:S:1:pos:R:3 pbc="T T T"
Zr 0.0000 0.0000 0.0000
Zr 0.0000 3.4476 3.4476
Zr 3.4476 0.0000 3.4476
Zr 3.4476 3.4476 0.0000
Ni 1.7238 1.7238 5.1714
Ni 1.7238 5.1714 1.7238
Ni 5.1714 1.7238 1.7238
Ni 5.1714 5.1714 5.1714
Hg 1.7238 1.7238 1.7238
Hg 1.7238 5.1714 5.1714
Hg 5.1714 1.7238 5.1714
Hg 5.1714 5.1714 1.7238
Pb 0.0000 0.0000 3.4476
Pb 0.0000 3.4476 0.0000
Pb 3.4476 0.0000 0.0000
Pb 3.4476 3.4476 3.4476
```

Record 3
An optimized crystal structure of Ni2HgPd. Source: the Open Quantum Materials Database, functional PBE.

Results
spin magnetization	2.5	μB/cell
energy relative to the elements	0.17	eV per atom

Cell and atoms, written as extended XYZ:
```
16
Lattice="6.1684 0.0000 0.0000 0.0000 6.1684 0.0000 0.0000 0.0000 6.1684" Properties=species:S:1:pos:R:3 pbc="T T T"
Ni 0.0000 0.0000 0.0000
Ni 0.0000 3.0842 3.0842
Ni 1.5421 1.5421 1.5421
Ni 1.5421 4.6263 4.6263
Ni 3.0842 0.0000 3.0842
Ni 3.0842 3.0842 0.0000
Ni 4.6263 1.5421 4.6263
Ni 4.6263 4.6263 1.5421
Hg 1.5421 1.5421 4.6263
Hg 1.5421 4.6263 1.5421
Hg 4.6263 1.5421 1.5421
Hg 4.6263 4.6263 4.6263
Pd 0.0000 0.0000 3.0842
Pd 0.0000 3.0842 0.0000
Pd 3.0842 0.0000 0.0000
Pd 3.0842 3.0842 3.0842
```

Record 4
An optimized crystal structure of NiHg2Pd. Source: the Open Quantum Materials Database, functional PBE.

Results
spin magnetization	0.0	μB/cell
energy relative to the elements	0.18	eV per atom

Cell and atoms, written as extended XYZ:
```
16
Lattice="6.5103 0.0000 0.0000 0.0000 6.5103 0.0000 0.0000 0.0000 6.5103" Properties=species:S:1:pos:R:3 pbc="T T T"
Ni 0.0000 0.0000 0.0000
Ni 0.0000 3.2552 3.2552
Ni 3.2552 0.0000 3.2552
Ni 3.2552 3.2552 0.0000
Hg 0.0000 0.0000 3.2552
Hg 0.0000 3.2552 0.0000
Hg 1.6276 1.6276 1.6276
Hg 1.6276 4.8827 4.8827
Hg 3.2552 0.0000 0.0000
Hg 3.2552 3.2552 3.2552
Hg 4.8827 1.6276 4.8827
Hg 4.8827 4.8827 1.6276
Pd 1.6276 1.6276 4.8827
Pd 1.6276 4.8827 1.6276
Pd 4.8827 1.6276 1.6276
Pd 4.8827 4.8827 4.8827
```

Record 5
An optimized crystal structure of NiHgPd2. Source: the Open Quantum Materials Database, functional PBE.

Results
spin magnetization	0.0	μB/cell
energy relative to the elements	0.04	eV per atom

Cell and atoms, written as extended XYZ:
```
16
Lattice="6.3213 0.0000 0.0000 0.0000 6.3213 0.0000 0.0000 0.0000 6.3213" Properties=species:S:1:pos:R:3 pbc="T T T"
Ni 0.0000 0.0000 0.0000
Ni 0.0000 3.1607 3.1607
Ni 3.1607 0.0000 3.1607
Ni 3.1607 3.1607 0.0000
Hg 1.5803 1.5803 1.5803
Hg 1.5803 4.7410 4.7410
Hg 4.7410 1.5803 4.7410
Hg 4.7410 4.7410 1.5803
Pd 0.0000 0.0000 3.1607
Pd 0.0000 3.1607 0.0000
Pd 1.5803 1.5803 4.7410
Pd 1.5803 4.7410 1.5803
Pd 3.1607 0.0000 0.0000
Pd 3.1607 3.1607 3.1607
Pd 4.7410 1.5803 1.5803
Pd 4.7410 4.7410 4.7410
```

Record 6
An optimized crystal structure of SiNiHgPd. Source: the Open Quantum Materials Database, functional PBE.

Results
spin magnetization	0.0	μB/cell
E above lowest polymorph	0	meV/atom

Cell and atoms, written as extended XYZ:
```
16
Lattice="6.2447 0.0000 0.0000 0.0000 6.2447 0.0000 0.0000 0.0000 6.2447" Properties=species:S:1:pos:R:3 pbc="T T T"
Si 0.0000 0.0000 0.0000
Si 0.0000 3.1224 3.1224
Si 3.1224 0.0000 3.1224
Si 3.1224 3.1224 0.0000
Ni 1.5612 1.5612 1.5612
Ni 1.5612 4.6836 4.6836
Ni 4.6836 1.5612 4.6836
Ni 4.6836 4.6836 1.5612
Hg 0.0000 0.0000 3.1224
Hg 0.0000 3.1224 0.0000
Hg 3.1224 0.0000 0.0000
Hg 3.1224 3.1224 3.1224
Pd 1.5612 1.5612 4.6836
Pd 1.5612 4.6836 1.5612
Pd 4.6836 1.5612 1.5612
Pd 4.6836 4.6836 4.6836
```

Record 7
An optimized crystal structure of NiSnHgPd. Source: the Open Quantum Materials Database, functional PBE.

Results
spin magnetization	0.0	μB/cell
E above lowest polymorph	0	meV/atom

Cell and atoms, written as extended XYZ:
```
16
Lattice="6.5275 0.0000 0.0000 0.0000 6.5275 0.0000 0.0000 0.0000 6.5275" Properties=species:S:1:pos:R:3 pbc="T T T"
Ni 0.0000 0.0000 0.0000
Ni 0.0000 3.2638 3.2638
Ni 3.2638 0.0000 3.2638
Ni 3.2638 3.2638 0.0000
Sn 1.6319 1.6319 4.8957
Sn 1.6319 4.8957 1.6319
Sn 4.8957 1.6319 1.6319
Sn 4.8957 4.8957 4.8957
Hg 1.6319 1.6319 1.6319
Hg 1.6319 4.8957 4.8957
Hg 4.8957 1.6319 4.8957
Hg 4.8957 4.8957 1.6319
Pd 0.0000 0.0000 3.2638
Pd 0.0000 3.2638 0.0000
Pd 3.2638 0.0000 0.0000
Pd 3.2638 3.2638 3.2638
```

Record 8
An optimized crystal structure of ZnNiHgPd. Source: the Open Quantum Materials Database, functional PBE.

Results
spin magnetization	0.0	μB/cell
E above lowest polymorph	0	meV/atom
energy relative to the elements	-0.10	eV per atom

Cell and atoms, written as extended XYZ:
```
16
Lattice="6.2734 0.0000 0.0000 0.0000 6.2734 0.0000 0.0000 0.0000 6.2734" Properties=species:S:1:pos:R:3 pbc="T T T"
Zn 0.0000 0.0000 0.0000
Zn 0.0000 3.1367 3.1367
Zn 3.1367 0.0000 3.1367
Zn 3.1367 3.1367 0.0000
Ni 1.5683 1.5683 1.5683
Ni 1.5683 4.7050 4.7050
Ni 4.7050 1.5683 4.7050
Ni 4.7050 4.7050 1.5683
Hg 0.0000 0.0000 3.1367
Hg 0.0000 3.1367 0.0000
Hg 3.1367 0.0000 0.0000
Hg 3.1367 3.1367 3.1367
Pd 1.5683 1.5683 4.7050
Pd 1.5683 4.7050 1.5683
Pd 4.7050 1.5683 1.5683
Pd 4.7050 4.7050 4.7050
```

Record 9
An optimized crystal structure of Pm12Ni6Hg. Source: the Open Quantum Materials Database, functional PBE.

Results
spin magnetization	0.0	μB/cell
energy relative to the elements	-0.29	eV per atom

Cell and atoms, written as extended XYZ:
```
19
Lattice="-4.9679 4.9679 4.9679 4.9679 -4.9679 4.9679 4.9679 4.9679 -4.9679" Properties=species:S:1:pos:R:3 pbc="T T T"
Pm 4.9679 3.1210 -1.9403
Pm 3.0275 0.0000 1.8468
Pm 6.9082 0.0000 1.8468
Pm 1.8468 3.0275 0.0000
Pm 3.1210 -1.9403 4.9679
Pm 0.0000 1.8468 3.0275
Pm 4.9679 3.1210 1.9403
Pm 1.8468 6.9082 0.0000
Pm 3.1210 1.9403 4.9679
Pm -1.9403 4.9679 3.1210
Pm 1.9403 4.9679 3.1210
Pm 0.0000 1.8468 6.9082
Ni 4.9679 1.2145 0.0000
Ni 4.9679 0.0000 3.7533
Ni 3.7533 4.9679 0.0000
Ni 1.2145 0.0000 4.9679
Ni 0.0000 4.9679 1.2145
Ni 0.0000 3.7533 4.9679
Hg 0.0000 0.0000 0.0000
```

Record 10
An optimized crystal structure of Pm2Ni2Hg. Source: the Open Quantum Materials Database, functional PBE.

Results
spin magnetization	0.0	μB/cell
energy relative to the elements	-0.43	eV per atom

Cell and atoms, written as extended XYZ:
```
10
Lattice="7.4677 0.0000 0.0000 0.0000 7.4677 0.0000 0.0000 0.0000 3.7861" Properties=species:S:1:pos:R:3 pbc="T T T"
Pm 1.3379 2.3959 0.0000
Pm 2.3959 6.1297 0.0000
Pm 5.0718 1.3379 0.0000
Pm 6.1297 5.0718 0.0000
Ni 0.8616 4.5954 1.8930
Ni 2.8722 0.8616 1.8930
Ni 4.5954 6.6060 1.8930
Ni 6.6060 2.8722 1.8930
Hg 0.0000 0.0000 1.8930
Hg 3.7338 3.7338 1.8930
```

Record 11
An optimized crystal structure of Pr2Ni2Hg. Source: the Open Quantum Materials Database, functional PBE.

Results
spin magnetization	0.0	μB/cell
energy relative to the elements	-0.41	eV per atom

Cell and atoms, written as extended XYZ:
```
10
Lattice="4.0087 0.0000 0.0000 0.0000 14.2764 0.0000 0.0000 0.0000 3.9117" Properties=species:S:1:pos:R:3 pbc="T T T"
Pr 0.0000 1.9234 0.0000
Pr 0.0000 12.3530 0.0000
Pr 2.0043 5.2148 0.0000
Pr 2.0043 9.0616 0.0000
Ni 0.0000 4.2414 1.9558
Ni 0.0000 10.0350 1.9558
Ni 2.0043 2.8968 1.9558
Ni 2.0043 11.3796 1.9558
Hg 0.0000 7.1382 1.9558
Hg 2.0043 0.0000 1.9558
```

Record 12
An optimized crystal structure of Pr12Ni6Hg. Source: the Open Quantum Materials Database, functional PBE.

Results
spin magnetization	0.0	μB/cell
energy relative to the elements	-0.25	eV per atom

Cell and atoms, written as extended XYZ:
```
19
Lattice="-5.0530 5.0530 5.0530 5.0530 -5.0530 5.0530 5.0530 5.0530 -5.0530" Properties=species:S:1:pos:R:3 pbc="T T T"
Pr 5.0530 -1.9616 3.1787
Pr 3.0914 1.8744 0.0000
Pr 7.0146 1.8744 0.0000
Pr 3.1787 5.0530 -1.9616
Pr 1.8744 0.0000 3.0914
Pr 0.0000 3.0914 1.8744
Pr 5.0530 1.9616 3.1787
Pr 3.1787 5.0530 1.9616
Pr 1.8744 0.0000 7.0146
Pr -1.9616 3.1787 5.0530
Pr 1.9616 3.1787 5.0530
Pr 0.0000 7.0146 1.8744
Ni 5.0530 0.0000 1.2269
Ni 5.0530 3.8261 0.0000
Ni 1.2269 5.0530 0.0000
Ni 3.8261 0.0000 5.0530
Ni 0.0000 1.2269 5.0530
Ni 0.0000 5.0530 3.8261
Hg 0.0000 0.0000 0.0000
```

Record 13
An optimized crystal structure of NiHgSbPt. Source: the Open Quantum Materials Database, functional PBE.

Results
spin magnetization	0.0	μB/cell
E above lowest polymorph	0	meV/atom

Cell and atoms, written as extended XYZ:
```
16
Lattice="6.5843 0.0000 0.0000 0.0000 6.5843 0.0000 0.0000 0.0000 6.5843" Properties=species:S:1:pos:R:3 pbc="T T T"
Ni 0.0000 0.0000 0.0000
Ni 0.0000 3.2922 3.2922
Ni 3.2922 0.0000 3.2922
Ni 3.2922 3.2922 0.0000
Hg 1.6461 1.6461 1.6461
Hg 1.6461 4.9382 4.9382
Hg 4.9382 1.6461 4.9382
Hg 4.9382 4.9382 1.6461
Sb 1.6461 1.6461 4.9382
Sb 1.6461 4.9382 1.6461
Sb 4.9382 1.6461 1.6461
Sb 4.9382 4.9382 4.9382
Pt 0.0000 0.0000 3.2922
Pt 0.0000 3.2922 0.0000
Pt 3.2922 0.0000 0.0000
Pt 3.2922 3.2922 3.2922
```